1.
Compound: CsSn2Br5
Source: the Alexandria database
Functional: PBE-GGA
Structure: optimized geometry

Calculated values
calculated volume = 40.74 Å³ per atom
offset from the most stable computed form = 0.047 eV per atom

abc: 5.850 5.850 19.048
angles: 90.00 90.00 90.00
Sites, in units of the cell vectors:
1 Cs 0.000 0.000 0.000
2 Cs 0.500 0.500 0.500
3 Sn 0.000 0.000 0.351
4 Sn 0.000 0.000 0.649
5 Sn 0.500 0.500 0.149
6 Sn 0.500 0.500 0.851
7 Br 0.000 0.000 0.500
8 Br 0.000 0.500 0.138
9 Br 0.000 0.500 0.362
10 Br 0.000 0.500 0.638
11 Br 0.000 0.500 0.862
12 Br 0.500 0.000 0.138
13 Br 0.500 0.000 0.362
14 Br 0.500 0.000 0.638
15 Br 0.500 0.000 0.862
16 Br 0.500 0.500 0.000

---

2.
Compound: Cs2Sn2Br7
Source: the Alexandria database
Functional: PBE-GGA
Structure: optimized geometry

Calculated values
calculated volume = 45.16 Å³ per atom
offset from the most stable computed form = 0.000 eV per atom
DOS at the Fermi energy = 0.178 states/eV per atom

abc: 9.641 9.641 5.623
angles: 91.88 91.88 107.86
Sites, in units of the cell vectors:
1 Cs 0.197 0.803 0.000
2 Cs 0.803 0.197 0.000
3 Sn 0.224 0.224 0.523
4 Sn 0.707 0.707 0.397
5 Br 0.037 0.396 0.532
6 Br 0.202 0.202 0.026
7 Br 0.396 0.037 0.532
8 Br 0.464 0.464 0.542
9 Br 0.579 0.824 0.062
10 Br 0.824 0.579 0.062
11 Br 0.962 0.962 0.504

---

3.
Compound: Cs3SrSn2Br9
Source: the Alexandria database
Functional: PBE-GGA
Structure: optimized geometry

Calculated values
calculated volume = 42.13 Å³ per atom
E_tot = -3.289 eV per atom
DOS at the Fermi energy = 0.000 states/eV per atom

abc: 8.414 8.414 10.307
angles: 90.00 90.00 120.00
Sites, in units of the cell vectors:
1 Cs 0.000 0.000 0.000
2 Cs 0.333 0.667 0.668
3 Cs 0.667 0.333 0.332
4 Sr 0.000 0.000 0.500
5 Sn 0.333 0.667 0.163
6 Sn 0.667 0.333 0.837
7 Br 0.000 0.500 0.000
8 Br 0.169 0.337 0.331
9 Br 0.169 0.831 0.331
10 Br 0.337 0.169 0.669
11 Br 0.500 0.000 0.000
12 Br 0.500 0.500 0.000
13 Br 0.663 0.831 0.331
14 Br 0.831 0.169 0.669
15 Br 0.831 0.663 0.669

---

4.
Compound: CsSr2SnBr8
Source: the Alexandria database
Functional: PBE-GGA
Structure: optimized geometry

Calculated values
calculated volume = 40.49 Å³ per atom
E_tot = -3.310 eV per atom
DOS at the Fermi energy = 0.496 states/eV per atom

abc: 7.019 7.134 9.703
angles: 89.96 89.94 89.63
Sites, in units of the cell vectors:
1 Cs 0.000 0.000 0.000
2 Sr 0.500 0.500 0.252
3 Sr 0.500 0.500 0.748
4 Sn 0.000 0.000 0.500
5 Br 0.242 0.849 0.701
6 Br 0.242 0.850 0.298
7 Br 0.246 0.331 0.500
8 Br 0.262 0.405 0.000
9 Br 0.738 0.595 0.000
10 Br 0.754 0.669 0.500
11 Br 0.758 0.150 0.702
12 Br 0.758 0.151 0.299

---

5.
Compound: Cs2TbSnBr6
Source: the Alexandria database
Functional: PBE-GGA
Structure: optimized geometry

Calculated values
calculated volume = 42.89 Å³ per atom
E_tot = -3.501 eV per atom
DOS at the Fermi energy = 0.077 states/eV per atom

abc: 7.907 11.496 9.438
angles: 90.00 90.00 90.00
Sites, in units of the cell vectors:
1 Cs 0.250 0.008 0.207
2 Cs 0.250 0.492 0.207
3 Cs 0.750 0.508 0.793
4 Cs 0.750 0.992 0.793
5 Tb 0.250 0.750 0.770
6 Tb 0.750 0.250 0.230
7 Sn 0.250 0.250 0.721
8 Sn 0.750 0.750 0.279
9 Br 0.003 0.750 0.988
10 Br 0.008 0.250 0.431
11 Br 0.250 0.504 0.784
12 Br 0.250 0.996 0.784
13 Br 0.492 0.250 0.431
14 Br 0.497 0.750 0.988
15 Br 0.503 0.250 0.012
16 Br 0.508 0.750 0.569
17 Br 0.750 0.004 0.216
18 Br 0.750 0.496 0.216
19 Br 0.992 0.750 0.569
20 Br 0.997 0.250 0.012

---

6.
Compound: CsTbSn2Br8
Source: the Alexandria database
Functional: PBE-GGA
Structure: optimized geometry

Calculated values
calculated volume = 41.33 Å³ per atom
E_tot = -3.521 eV per atom
DOS at the Fermi energy = 0.000 states/eV per atom

abc: 6.882 7.376 9.878
angles: 83.34 85.83 86.33
Sites, in units of the cell vectors:
1 Cs 0.000 0.000 0.000
2 Tb 0.000 0.000 0.500
3 Sn 0.475 0.479 0.254
4 Sn 0.525 0.521 0.746
5 Br 0.225 0.320 0.469
6 Br 0.243 0.841 0.300
7 Br 0.253 0.854 0.704
8 Br 0.263 0.393 0.054
9 Br 0.737 0.607 0.946
10 Br 0.747 0.146 0.296
11 Br 0.757 0.159 0.700
12 Br 0.775 0.680 0.531

---

7.
Compound: CsTbSnBr6
Source: the Alexandria database
Functional: PBE-GGA
Structure: optimized geometry

Calculated values
calculated volume = 44.78 Å³ per atom
E_tot = -3.700 eV per atom
DOS at the Fermi energy = 0.000 states/eV per atom

abc: 7.650 7.650 7.952
angles: 90.00 90.00 120.00
Sites, in units of the cell vectors:
1 Cs 0.000 0.000 0.000
2 Tb 0.667 0.333 0.500
3 Sn 0.333 0.667 0.500
4 Br 0.385 0.017 0.708
5 Br 0.385 0.368 0.292
6 Br 0.632 0.017 0.292
7 Br 0.632 0.615 0.708
8 Br 0.983 0.368 0.708
9 Br 0.983 0.615 0.292

---

8.
Compound: CsSnTeBr
Source: the Alexandria database
Functional: PBE-GGA
Structure: optimized geometry

Calculated values
calculated volume = 48.30 Å³ per atom
E_tot = -3.247 eV per atom

abc: 8.367 4.826 9.963
angles: 90.00 106.17 90.00
Sites, in units of the cell vectors:
1 Cs 0.000 0.000 0.000
2 Cs 0.500 0.500 0.000
3 Sn 0.346 0.500 0.536
4 Sn 0.846 0.000 0.536
5 Te 0.228 0.000 0.685
6 Te 0.728 0.500 0.685
7 Br 0.238 0.500 0.215
8 Br 0.738 0.000 0.215

---

In order of appearance, total magnetization = 0.0, 0.0, 0.0, 0.0, 2.0, 0.0, 0.0, 0.0 μB per cell.